(1)
The following is a PBE-GGA calculation of crystalline AcSm2Ho4Tm at its relaxed geometry, from the Alexandria database.

The energy is -4.50 eV per atom. The energy of formation is 0.04 eV/atom.

The space group is Pmmm (No. 47) and the conventional cell measures 5.096, 5.117 and 10.145 Å, with angles of 90.00, 90.00 and 90.00 degrees. The inequivalent atoms are Ac at (0.000, 0.000, 0.000), Sm at (0.000, 0.000, 0.500), Sm at (0.500, 0.500, 0.000), Ho at (0.000, 0.500, 0.259), Ho at (0.500, 0.000, 0.259) and Tm at (0.500, 0.500, 0.500).

(2)
The following is a PBE-GGA calculation of crystalline AcSm2Ho2Tm2 at its relaxed geometry, from the Alexandria database.

The energy is -4.48 eV per atom. The energy of formation is 0.05 eV/atom.

The space group is C2/m (No. 12) and the conventional cell measures 11.363, 5.122 and 8.099 Å, with angles of 90.00, 98.32 and 90.00 degrees. The inequivalent atoms are Ac at (0.000, 0.000, 0.000), Sm at (0.074, 0.500, 0.709), Ho at (0.215, 0.500, 0.151) and Tm at (0.143, 0.000, 0.435).